Computed, not measured: a geometry-optimized VNiH2 structure at the PBE level of DFT.

SG: R-3m
E above lowest polymorph (meV per atom): 0

Cell: 2.699 2.695 4.726 Å, 73.47 90.00 59.96°
Element x y z (fractional)
V1 0.530 0.678 0.547
Ni1 0.030 0.677 0.047
H1 0.281 0.177 0.800
H2 0.780 0.178 0.294